VASP calculation (PBE) on crystalline Zn3SbN at its relaxed geometry.

energy relative to the lowest polymorph listed for this composition = 1315 meV/atom
space-group type = No. 221
total energy = -1.66 eV/atom

a = 5.162 Å, b = 5.162 Å, c = 5.162 Å
α = 90.00°, β = 90.00°, γ = 90.00°
Fractional positions:
Zn  0.000  0.000  0.500
Zn  0.000  0.500  0.000
Zn  0.500  0.000  0.000
Sb  0.000  0.000  0.000
N  0.500  0.500  0.500